[1]
Material: Ac7La4Tm
Method: DFT, PBE
State: relaxed

Cell: 7.0487 7.2205 10.1508 Å, 103.98 94.09 92.43°
Space group P-1 (No. 2)
Unique sites:
Ac 0.0000 0.0000 0.0000 (multiplicity 1)
Ac 0.1427 0.7888 0.4112 (multiplicity 2)
Ac 0.2626 0.5103 0.0688 (multiplicity 2)
Ac 0.3215 0.2759 0.3777 (multiplicity 2)
La 0.2107 0.6171 0.7358 (multiplicity 2)
La 0.3382 0.1373 0.7252 (multiplicity 2)
Tm 0.5000 0.0000 0.0000 (multiplicity 1)

Computed properties:
* formation enthalpy at 0 K: 0.094 eV per atom
* magnetization: 0.00 μB/cell



[2]
Material: AcLaTm14
Method: DFT, PBE
State: relaxed

Cell: 11.2284 7.2390 12.4551 Å, 90.00 90.00 90.00°
Space group Amm2 (No. 38)
Unique sites:
Ac 0.0000 0.0000 0.0000 (multiplicity 2)
La 0.0000 0.0000 0.5005 (multiplicity 2)
Tm 0.0000 0.2493 0.2526 (multiplicity 4)
Tm 0.2533 0.0000 0.6705 (multiplicity 4)
Tm 0.2553 0.0000 0.1712 (multiplicity 4)
Tm 0.2586 0.2487 0.4185 (multiplicity 8)
Tm 0.5000 0.0000 0.0022 (multiplicity 2)
Tm 0.5000 0.0000 0.5022 (multiplicity 2)
Tm 0.5000 0.2501 0.2517 (multiplicity 4)

Computed properties:
* formation enthalpy at 0 K: 0.021 eV per atom
* magnetization: 0.00 μB/cell



[3]
Material: Ac2La4Tm3
Method: DFT, PBE
State: relaxed

Cell: 6.4713 12.4317 16.5535 Å, 90.00 90.00 90.00°
Space group Fmmm (No. 69)
Unique sites:
Ac 0.0000 0.0000 0.1152 (multiplicity 8)
La 0.0000 0.1476 0.3139 (multiplicity 16)
Tm 0.0000 0.0000 0.5000 (multiplicity 4)
Tm 0.2500 0.2500 0.0000 (multiplicity 8)

Computed properties:
* formation enthalpy at 0 K: 0.139 eV per atom
* magnetization: 0.00 μB/cell



[4]
Material: Ac3La4Tm4
Method: DFT, PBE
State: relaxed

Cell: 3.6705 5.8636 18.9327 Å, 98.85 95.53 90.01°
Space group P-1 (No. 2)
Unique sites:
Ac 0.0000 0.0000 0.0000 (multiplicity 1)
Ac 0.1366 0.6372 0.2739 (multiplicity 2)
La 0.2658 0.2659 0.5318 (multiplicity 2)
La 0.4081 0.9076 0.8160 (multiplicity 2)
Tm 0.3173 0.8170 0.6345 (multiplicity 2)
Tm 0.4558 0.4542 0.9098 (multiplicity 2)

Computed properties:
* formation enthalpy at 0 K: 0.067 eV per atom
* magnetization: 0.00 μB/cell



[5]
Material: Ac12La5Tm
Method: DFT, PBE
State: relaxed

Cell: 6.8003 11.7676 19.0602 Å, 90.00 96.85 90.00°
Space group C2/m (No. 12)
Unique sites:
Ac 0.1113 0.1652 0.3374 (multiplicity 8)
Ac 0.1161 0.5000 0.3374 (multiplicity 4)
Ac 0.2218 0.3330 0.1644 (multiplicity 8)
Ac 0.2227 0.0000 0.1644 (multiplicity 4)
La 0.0000 0.1669 0.0000 (multiplicity 4)
La 0.0000 0.3335 0.5000 (multiplicity 4)
La 0.0000 0.5000 0.0000 (multiplicity 2)
Tm 0.0000 0.0000 0.5000 (multiplicity 2)

Computed properties:
* formation enthalpy at 0 K: 0.025 eV per atom
* magnetization: 0.00 μB/cell



[6]
Material: Ac5La4Tm
Method: DFT, PBE
State: relaxed

Cell: 3.8816 3.8816 26.6036 Å, 90.00 90.00 90.00°
Space group P4/mmm (No. 123)
Unique sites:
Ac 0.0000 0.0000 0.0000 (multiplicity 1)
Ac 0.0000 0.0000 0.2036 (multiplicity 2)
Ac 0.0000 0.0000 0.4067 (multiplicity 2)
La 0.5000 0.5000 0.1020 (multiplicity 2)
La 0.5000 0.5000 0.3059 (multiplicity 2)
Tm 0.5000 0.5000 0.5000 (multiplicity 1)

Computed properties:
* formation enthalpy at 0 K: 0.033 eV per atom
* magnetization: 0.00 μB/cell